# PBE TaCo2, optimized geometry
data_TaCo2
_chemical_formula_sum 'Ta4 Co8'
_space_group_name_H-M_alt 'P 1'
_space_group_IT_number 1
_cell_length_a 4.757
_cell_length_b 4.757
_cell_length_c 7.728
_cell_angle_alpha 90.00
_cell_angle_beta 90.00
_cell_angle_gamma 120.00
loop_
_space_group_symop_operation_xyz
'x,y,z'
loop_
_atom_site_label
_atom_site_type_symbol
_atom_site_fract_x
_atom_site_fract_y
_atom_site_fract_z
Ta1 Ta 0.333 0.667 0.065
Ta2 Ta 0.333 0.667 0.435
Ta3 Ta 0.667 0.333 0.565
Ta4 Ta 0.667 0.333 0.935
Co1 Co 0.000 0.000 0.000
Co2 Co 0.000 0.000 0.500
Co3 Co 0.168 0.337 0.750
Co4 Co 0.168 0.832 0.750
Co5 Co 0.337 0.168 0.250
Co6 Co 0.663 0.832 0.750
Co7 Co 0.832 0.168 0.250
Co8 Co 0.832 0.663 0.250
# energy relative to the elements: -0.21 eV/atom
# calculated total energy: -106.82 eV per cell